La2Tm3Pb4 after structural relaxation, computed with GGA-PBE.

Structure (CIF):
```
data_La2Tm3Pb4
_cell_length_a 8.4651
_cell_length_b 8.4374
_cell_length_c 8.2576
_cell_angle_alpha 90.00
_cell_angle_beta 111.33
_cell_angle_gamma 90.00
_space_group_name_H-M_alt 'P 1 21/c 1'
_space_group_IT_number 14
_space_group_name_Hall '-P 2ybc'
loop_
_atom_site_label
_atom_site_type_symbol
_atom_site_fract_x
_atom_site_fract_y
_atom_site_fract_z
_atom_site_occupancy
La1 La 0.1921 0.1786 0.0574 1
Tm1 Tm 0.2468 0.6567 0.2409 1
Tm2 Tm 0.5000 0.0000 0.5000 1
Pb1 Pb 0.0878 0.5448 0.8371 1
Pb2 Pb 0.4962 0.1405 0.8593 1
```

Density of states at the Fermi level = 6.04 states/eV/f.u.
Energy relative to the lowest polymorph listed for this composition = 0.00 eV per formula unit
Energy of formation from the pure elements = -0.60 eV/atom
Crystal system = monoclinic

=====

MnAlVMo after structural relaxation, computed with GGA-PBE.

Structure (CIF):
```
data_MnAlVMo
_cell_length_a 6.0552
_cell_length_b 6.0552
_cell_length_c 6.0552
_cell_angle_alpha 90.00
_cell_angle_beta 90.00
_cell_angle_gamma 90.00
_space_group_name_H-M_alt 'F -4 3 m'
_space_group_IT_number 216
_space_group_name_Hall 'F -4 2 3'
loop_
_atom_site_label
_atom_site_type_symbol
_atom_site_fract_x
_atom_site_fract_y
_atom_site_fract_z
_atom_site_occupancy
Mn1 Mn 0.0000 0.0000 0.0000 1
Al1 Al 0.2500 0.2500 0.2500 1
V1 V 0.0000 0.0000 0.5000 1
Mo1 Mo 0.2500 0.2500 0.7500 1
```

Density of states at the Fermi level = 2.37 states/eV/f.u.
Energy of formation from the pure elements = -0.13 eV/atom
Crystal system = cubic

=====

Cs2NaTeH after structural relaxation, computed with GGA-PBE.

Structure (CIF):
```
data_Cs2NaTeH
_cell_length_a 5.9881
_cell_length_b 5.9881
_cell_length_c 5.1517
_cell_angle_alpha 90.00
_cell_angle_beta 90.00
_cell_angle_gamma 90.00
_space_group_name_H-M_alt 'P 4/m m m'
_space_group_IT_number 123
_space_group_name_Hall '-P 4 2'
loop_
_atom_site_label
_atom_site_type_symbol
_atom_site_fract_x
_atom_site_fract_y
_atom_site_fract_z
_atom_site_occupancy
Cs1 Cs 0.0000 0.5000 0.0000 1
Na1 Na 0.0000 0.0000 0.5000 1
Te1 Te 0.5000 0.5000 0.5000 1
H1 H 0.0000 0.0000 0.0000 1
```

E = -2.457 eV/atom
Crystal system = tetragonal

=====

HfNpSb3 after structural relaxation, computed with GGA-PBE.

Structure (CIF):
```
data_HfNpSb3
_cell_length_a 13.0890
_cell_length_b 6.3084
_cell_length_c 6.3312
_cell_angle_alpha 90.00
_cell_angle_beta 90.00
_cell_angle_gamma 90.00
_space_group_name_H-M_alt 'P b c m'
_space_group_IT_number 57
_space_group_name_Hall '-P 2c 2b'
loop_
_atom_site_label
_atom_site_type_symbol
_atom_site_fract_x
_atom_site_fract_y
_atom_site_fract_z
_atom_site_occupancy
Hf1 Hf 0.0956 0.2500 0.0000 1
Np1 Np 0.3185 0.5088 0.2500 1
Sb1 Sb 0.0822 0.6296 0.2500 1
Sb2 Sb 0.2487 0.0068 0.2500 1
Sb3 Sb 0.4973 0.2500 0.0000 1
```

Density of states at the Fermi level = 13.03 states/eV/f.u.
Crystal system = orthorhombic
E_form (uncorrected) = -0.3188 eV per atom

=====

La4AsCCl2 after structural relaxation, computed with GGA-PBE.

Structure (CIF):
```
data_La4AsCCl2
_cell_length_a 7.2826
_cell_length_b 4.0662
_cell_length_c 7.4764
_cell_angle_alpha 90.00
_cell_angle_beta 108.10
_cell_angle_gamma 90.00
_space_group_name_H-M_alt 'P 1 2/m 1'
_space_group_IT_number 10
_space_group_name_Hall '-P 2y'
loop_
_atom_site_label
_atom_site_type_symbol
_atom_site_fract_x
_atom_site_fract_y
_atom_site_fract_z
_atom_site_occupancy
La1 La 0.2072 0.0000 0.2026 1
La2 La 0.2275 0.5000 0.7847 1
As1 As 0.5000 0.0000 0.0000 1
C1 C 0.0000 0.5000 0.0000 1
Cl1 Cl 0.0000 0.0000 0.5000 1
Cl2 Cl 0.5000 0.5000 0.5000 1
```

Density of states at the Fermi level = 3.96 states/eV/f.u.
Crystal system = monoclinic
E_form (uncorrected) = -1.3242 eV per atom

=====

Ag3HPt after structural relaxation, computed with GGA-PBE.

Structure (CIF):
```
data_Ag3HPt
_cell_length_a 5.7368
_cell_length_b 5.8446
_cell_length_c 8.7424
_cell_angle_alpha 90.00
_cell_angle_beta 90.05
_cell_angle_gamma 90.00
_space_group_name_H-M_alt 'P 1 2/c 1'
_space_group_IT_number 13
_space_group_name_Hall '-P 2yc'
loop_
_atom_site_label
_atom_site_type_symbol
_atom_site_fract_x
_atom_site_fract_y
_atom_site_fract_z
_atom_site_occupancy
Ag1 Ag 0.0004 0.2331 0.9998 1
Ag2 Ag 0.2545 0.0001 0.2500 1
Ag3 Ag 0.5004 0.2521 0.0000 1
H1 H 0.9996 0.4995 0.1467 1
Pt1 Pt 0.2667 0.5001 0.2499 1
```

Density of states at the Fermi level = 1.17 states/eV/f.u.
Energy relative to the lowest polymorph listed for this composition = 0.00 eV per formula unit
Crystal system = monoclinic

=====

Repeat the fourth record exactly.
HfNpSb3 after structural relaxation, computed with GGA-PBE.

Structure (CIF):
```
data_HfNpSb3
_cell_length_a 13.0890
_cell_length_b 6.3084
_cell_length_c 6.3312
_cell_angle_alpha 90.00
_cell_angle_beta 90.00
_cell_angle_gamma 90.00
_space_group_name_H-M_alt 'P b c m'
_space_group_IT_number 57
_space_group_name_Hall '-P 2c 2b'
loop_
_atom_site_label
_atom_site_type_symbol
_atom_site_fract_x
_atom_site_fract_y
_atom_site_fract_z
_atom_site_occupancy
Hf1 Hf 0.0956 0.2500 0.0000 1
Np1 Np 0.3185 0.5088 0.2500 1
Sb1 Sb 0.0822 0.6296 0.2500 1
Sb2 Sb 0.2487 0.0068 0.2500 1
Sb3 Sb 0.4973 0.2500 0.0000 1
```

Density of states at the Fermi level = 13.03 states/eV/f.u.
Crystal system = orthorhombic
E_form (uncorrected) = -0.3188 eV per atom